# Pd3Se | the Alexandria database | GGA-PBE | optimized geometry
data_Pd3Se
_chemical_formula_sum 'Pd3 Se1'
_symmetry_space_group_name_H-M 'P m -3 m'
_symmetry_Int_Tables_number 221
_symmetry_space_group_name_Hall '-P 4 2 3'
_cell_length_a 4.0158
_cell_length_b 4.0158
_cell_length_c 4.0158
_cell_angle_alpha 90.00
_cell_angle_beta 90.00
_cell_angle_gamma 90.00
loop_
_atom_site_label
_atom_site_type_symbol
_atom_site_fract_x
_atom_site_fract_y
_atom_site_fract_z
Pd1 Pd 0.0000 0.0000 0.5000
Se1 Se 0.5000 0.5000 0.5000
# ΔE_f (raw)	0.055	eV per atom
# magnetization	0.00	μB/cell
# theoretical density	10.21	Mg/m³
# total DFT energy (no corrections)	-4.7107	eV/atom